A relaxed Be3BiPb crystal, computed with PBEsol.

```
5
Lattice="-1.2365 0.3262 -4.5147 1.5182 -4.3791 -0.7322 -4.2642 -1.6537 1.0484" Properties=species:S:1:pos:R:3 pbc="T T T"
Pb 0.0000 0.0000 0.0000
Be -2.1321 -0.8268 0.5242
Be -0.6182 0.1631 -2.2573
Be 0.7591 -2.1895 -0.3661
Bi -1.9912 -2.8533 -2.0993
```

Properties
Energy of formation from the pure elements (eV per atom): 1.200
E (eV per atom): -2.857
Total moment (Bohr magnetons per cell): 0.00
Density of states at the Fermi level (states/eV/f.u.): 3.0